The following is a DFT calculation (PBE) of an optimized crystal structure of Li2La2ErMg5.

a = 4.4953 Å, b = 10.8203 Å, c = 10.8203 Å
α = 90.00°, β = 90.00°, γ = 90.00°
With the nearest neighbours (Å) after each atom.
Positions (direct):
Li  0.0000  0.1132  0.6132  6 Mg 2.84-2.99, 1 La 3.13
Li  0.0000  0.8868  0.3868  6 Mg 2.84-2.99, 1 La 3.13
Li  0.0000  0.6132  0.8868  6 Mg 2.84-2.99, 1 La 3.13
Li  0.0000  0.3868  0.1132  6 Mg 2.84-2.99, 1 La 3.13
La  0.0000  0.6821  0.1821  3 Li 3.13-3.28
La  0.0000  0.3179  0.8179  3 Li 3.13-3.28
La  0.0000  0.1821  0.3179  3 Li 3.13-3.28
La  0.0000  0.8179  0.6821  3 Li 3.13-3.28
Er  0.0000  0.0000  0.0000  8 Mg 3.28
Er  0.0000  0.5000  0.5000  8 Mg 3.28
Mg  0.5000  0.2133  0.0589  2 Li 2.99, 1 Mg 3.17, 2 Er 3.28
Mg  0.5000  0.7867  0.9411  2 Li 2.99, 1 Mg 3.17, 2 Er 3.28
Mg  0.5000  0.0589  0.7867  2 Li 2.99, 1 Mg 3.17, 2 Er 3.28
Mg  0.5000  0.7133  0.4411  2 Li 2.99, 1 Mg 3.17, 2 Er 3.28
Mg  0.5000  0.9411  0.2133  2 Li 2.99, 1 Mg 3.17, 2 Er 3.28
Mg  0.5000  0.2867  0.5589  2 Li 2.99, 1 Mg 3.17, 2 Er 3.28
Mg  0.5000  0.5589  0.7133  2 Li 2.99, 1 Mg 3.17, 2 Er 3.28
Mg  0.5000  0.4411  0.2867  2 Li 2.99, 1 Mg 3.17, 2 Er 3.28
Mg  0.5000  0.5000  0.0000  4 Li 2.84, 4 Mg 3.17
Mg  0.5000  0.0000  0.5000  4 Li 2.84, 4 Mg 3.17

Output
**Uncorrected energy**: -2.672 eV/atom
**Energy relative to the elements**: -0.050 eV per atom

The following is a DFT calculation (PBE) of an optimized crystal structure of BeReW2.

a = 4.7464 Å, b = 4.7464 Å, c = 2.7767 Å
α = 90.00°, β = 90.00°, γ = 110.97°
With the nearest neighbours (Å) after each atom.
Positions (direct):
Re  0.0000  0.5000  0.5000  2 Be 2.69, 8 W 2.75, 2 Re 2.78
W  0.0000  0.0000  0.0000  4 W 2.69-2.78, 4 Re 2.75, 4 Be 2.75
W  0.5000  0.5000  0.0000  4 W 2.69-2.78, 4 Be 2.75, 4 Re 2.75
Be  0.5000  0.0000  0.5000  2 Re 2.69, 8 W 2.75, 2 Be 2.78

Output
**Uncorrected energy**: -10.245 eV/atom
**Energy relative to the elements**: 0.276 eV per atom

The following is a DFT calculation (PBE) of an optimized crystal structure of TbDy4Pb2.

a = 5.3837 Å, b = 5.3837 Å, c = 9.1022 Å
α = 107.20°, β = 107.20°, γ = 90.00°
With the nearest neighbours (Å) after each atom.
Positions (direct):
Tb  0.0000  0.0000  0.0000  4 Dy 2.69
Dy  0.8169  0.8169  0.6338  1 Tb 3.03, 1 Pb 3.08
Dy  0.1831  0.1831  0.3662  1 Tb 3.03, 1 Pb 3.08
Dy  0.0000  0.5000  0.0000  2 Tb 2.69
Dy  0.5000  0.0000  0.0000  2 Tb 2.69
Pb  0.6305  0.6305  0.2609  5 Dy 3.08-3.45
Pb  0.3695  0.3695  0.7391  5 Dy 3.08-3.45

Output
**Uncorrected energy**: -3.899 eV/atom
**Energy relative to the elements**: 0.452 eV per atom

The following is a DFT calculation (PBE) of an optimized crystal structure of LiTlI2N.

a = 5.8598 Å, b = 5.8598 Å, c = 4.4113 Å
α = 90.00°, β = 90.00°, γ = 90.00°
With the nearest neighbours (Å) after each atom.
Positions (direct):
I  0.0000  0.5000  0.0000  2 Li 2.93
I  0.5000  0.0000  0.0000  2 Li 2.93
Tl  0.5000  0.5000  0.5000  8 I 3.67
Li  0.0000  0.0000  0.0000  2 N 2.21
N  0.0000  0.0000  0.5000  2 Li 2.21

Output
**Uncorrected energy**: -2.854 eV/atom
**Raw formation energy**: 1.44 eV/f.u.
**E above lowest polymorph**: 0 meV/atom

The following is a DFT calculation (PBE) of an optimized crystal structure of Tl4SiTc.

a = 6.1312 Å, b = 6.1312 Å, c = 6.1312 Å
α = 60.00°, β = 60.00°, γ = 60.00°
With the nearest neighbours (Å) after each atom.
Positions (direct):
Tl  0.8754  0.3749  0.3749  6 Tl 3.06-3.07
Tl  0.3749  0.3749  0.8754  6 Tl 3.06-3.07
Tl  0.3749  0.8754  0.3749  6 Tl 3.06-3.07
Tl  0.3749  0.3749  0.3749  6 Tl 3.06-3.07
Si  0.7500  0.7500  0.7500  12 Tl 3.60, 4 Tc 3.75
Tc  0.0000  0.0000  0.0000  12 Tl 3.59, 4 Si 3.75

Output
**Uncorrected energy**: -3.100 eV/atom
**Raw formation energy**: 6.65 eV/f.u.

The following is a DFT calculation (PBE) of an optimized crystal structure of K2LiSb.

a = 5.5978 Å, b = 5.5978 Å, c = 5.5978 Å
α = 119.98°, β = 119.98°, γ = 90.04°
With the nearest neighbours (Å) after each atom.
Positions (direct):
K  0.0000  0.0000  0.0000  4 K 3.43, 4 Sb 3.43
K  0.2500  0.7500  0.5000  4 K 3.43, 4 Li 3.43
Li  0.5000  0.5000  0.0000  4 K 3.43, 4 Sb 3.43
Sb  0.7500  0.2500  0.5000  4 Li 3.43, 4 K 3.43

Output
**Uncorrected energy**: -2.439 eV/atom
**Raw formation energy**: -1.53 eV/f.u.
**E above lowest polymorph**: 98 meV/atom

The following is a DFT calculation (PBE) of an optimized crystal structure of YSi2Cl.

a = 6.1355 Å, b = 6.2925 Å, c = 6.2925 Å
α = 145.43°, β = 144.92°, γ = 50.41°
With the nearest neighbours (Å) after each atom.
Positions (direct):
Cl  0.7500  0.2500  0.5000  4 Y 2.65
Si  0.9872  0.0004  0.9868  4 Si 2.58-2.72
Si  0.5128  0.4996  0.0132  4 Si 2.58-2.72
Y  0.2500  0.7500  0.5000  4 Cl 2.65

Output
**Uncorrected energy**: -5.266 eV/atom
**Raw formation energy**: -1.91 eV/f.u.
**E above lowest polymorph**: 366 meV/atom

The following is a DFT calculation (PBE) of an optimized crystal structure of PmGe2Pb.

a = 4.0182 Å, b = 4.0182 Å, c = 6.3534 Å
α = 90.00°, β = 90.00°, γ = 90.00°
With the nearest neighbours (Å) after each atom.
Positions (direct):
Pb  0.5000  0.5000  0.0000  2 Pm 3.18, 8 Ge 3.40
Ge  0.0000  0.0000  0.7067  1 Ge 2.63
Ge  0.0000  0.0000  0.2933  1 Ge 2.63
Pm  0.5000  0.5000  0.5000  8 Ge 3.13, 2 Pb 3.18

Output
**Uncorrected energy**: -4.685 eV/atom
**Energy relative to the elements**: -0.261 eV per atom
**E above lowest polymorph**: 89 meV/atom

The following is a DFT calculation (PBE) of an optimized crystal structure of Hf2ZrBi3.

a = 4.0118 Å, b = 7.1233 Å, c = 10.9628 Å
α = 90.00°, β = 90.00°, γ = 90.00°
With the nearest neighbours (Å) after each atom.
Positions (direct):
Hf  0.0000  0.9782  0.2047  5 Bi 2.97-3.03
Hf  0.5000  0.9993  0.4601  6 Bi 2.92-3.07
Hf  0.0000  0.4782  0.7953  5 Bi 2.97-3.03
Hf  0.5000  0.4993  0.5399  6 Bi 2.92-3.07
Zr  0.0000  0.0264  0.8938  7 Bi 3.04-3.39, 1 Hf 3.39
Zr  0.0000  0.5264  0.1062  7 Bi 3.04-3.39, 1 Hf 3.39
Bi  0.5000  0.2113  0.0652  2 Hf 3.02, 4 Zr 3.04-3.05
Bi  0.5000  0.1869  0.7124  4 Hf 2.92-3.07, 2 Zr 3.05
Bi  0.0000  0.2991  0.3775  5 Hf 2.97-3.07
Bi  0.5000  0.7113  0.9348  2 Hf 3.02, 4 Zr 3.04-3.05
Bi  0.5000  0.6869  0.2876  4 Hf 2.92-3.07, 2 Zr 3.05
Bi  0.0000  0.7991  0.6225  5 Hf 2.97-3.07

Output
**Uncorrected energy**: -6.815 eV/atom
**Energy relative to the elements**: -0.132 eV per atom

The following is a DFT calculation (PBE) of an optimized crystal structure of ThMgCoPd.

a = 4.7932 Å, b = 4.7932 Å, c = 4.7932 Å
α = 60.00°, β = 60.00°, γ = 60.00°
With the nearest neighbours (Å) after each atom.
Positions (direct):
Mg  0.7500  0.7500  0.7500  4 Co 2.94, 4 Pd 2.94
Co  0.5000  0.5000  0.5000  4 Mg 2.94, 4 Th 2.94
Pd  0.0000  0.0000  0.0000  4 Th 2.94, 4 Mg 2.94
Th  0.2500  0.2500  0.2500  4 Pd 2.94, 4 Co 2.94

Output
**Uncorrected energy**: -5.662 eV/atom
**Energy relative to the elements**: -0.333 eV per atom

The following is a DFT calculation (PBE) of an optimized crystal structure of Th2AgAu.

a = 4.5888 Å, b = 6.3392 Å, c = 7.5656 Å
α = 107.20°, β = 90.00°, γ = 90.00°
With the nearest neighbours (Å) after each atom.
Positions (direct):
Th  0.7500  0.1892  0.4239  4 Au 3.13-3.34, 3 Ag 3.14-3.33
Th  0.2500  0.8108  0.5761  4 Au 3.13-3.34, 3 Ag 3.14-3.33
Th  0.2500  0.8067  0.0779  3 Au 3.13-3.33, 4 Ag 3.15-3.33
Th  0.7500  0.1933  0.9221  3 Au 3.13-3.33, 4 Ag 3.15-3.33
Ag  0.2500  0.3559  0.2157  2 Au 2.88, 4 Th 3.14-3.15
Ag  0.7500  0.6441  0.7843  2 Au 2.88, 4 Th 3.14-3.15
Au  0.7500  0.6440  0.2870  2 Ag 2.88, 4 Th 3.13
Au  0.2500  0.3560  0.7130  2 Ag 2.88, 4 Th 3.13

Output
**Uncorrected energy**: -5.573 eV/atom
**Energy relative to the elements**: -0.331 eV per atom

The following is a DFT calculation (PBE) of an optimized crystal structure of Ce2InBr.

a = 4.4601 Å, b = 4.4601 Å, c = 7.4021 Å
α = 72.47°, β = 72.47°, γ = 60.00°
With the nearest neighbours (Å) after each atom.
Positions (direct):
Br  0.0000  0.0000  0.0000  6 Ce 3.03
Ce  0.2567  0.2567  0.2299  3 Br 3.03, 3 In 3.18
Ce  0.7433  0.7433  0.7701  3 Br 3.03, 3 In 3.18
In  0.5000  0.5000  0.5000  6 Ce 3.18

Output
**Uncorrected energy**: -4.680 eV/atom
**Raw formation energy**: -2.44 eV/f.u.
**E above lowest polymorph**: 50 meV/atom